This record from Alexandria via LeMat-Bulk describes a geometry-optimized ThMg2Sn3 structure. The functional is PBE.

POSCAR file:
```
ThMg2Sn3
1.0
4.378 0.000 0.000
0.000 4.553 -1.539
0.000 0.058 7.673
Sn Th Mg
3 1 2
Direct
0.500 0.826 0.653
0.500 0.174 0.347
0.500 0.500 0.000
0.000 0.000 0.000
0.000 0.672 0.345
0.000 0.328 0.655
```

Properties
crystal system	orthorhombic
total magnetic moment	0.00	Bohr magnetons per cell
calculated formation energy	-0.322	eV per atom
D(E_F)	0.61	states/eV/atom
SG	Cmmm (65)


This record from Alexandria via LeMat-Bulk describes a geometry-optimized Th5MgSn5 structure. The functional is PBE.

POSCAR file:
```
Th5MgSn5
1.0
-0.244 -6.307 0.087
6.160 2.969 3.530
-6.811 0.341 5.630
Th Sn Mg
5 5 1
Direct
0.670 0.340 0.339
0.655 0.309 0.812
0.330 0.660 0.661
0.345 0.691 0.188
0.000 0.000 0.500
0.500 0.000 0.000
0.840 0.680 0.680
0.829 0.658 0.155
0.171 0.342 0.845
0.160 0.320 0.320
0.000 0.000 0.000
```

Properties
crystal system	monoclinic
total magnetic moment	0.00	Bohr magnetons per cell
calculated formation energy	-0.097	eV per atom
D(E_F)	1.15	states/eV/atom
SG	C2/m (12)


This record from Alexandria via LeMat-Bulk describes a geometry-optimized TmThMgSn structure. The functional is PBE.

POSCAR file:
```
TmThMgSn
1.0
-4.572 2.711 -0.714
-4.387 -2.550 -1.736
-4.133 -0.791 3.324
Th Sn Tm Mg
1 1 1 1
Direct
0.000 0.000 0.000
0.250 0.250 0.250
0.500 0.500 0.500
0.750 0.750 0.750
```

Properties
crystal system	cubic
total magnetic moment	0.00	Bohr magnetons per cell
calculated formation energy	-0.240	eV per atom
D(E_F)	0.75	states/eV/atom
SG	F-43m (216)


This record from Alexandria via LeMat-Bulk describes a geometry-optimized Mg2TiSn structure. The functional is PBE.

POSCAR file:
```
Mg2TiSn
1.0
3.129 0.000 0.000
1.565 2.710 0.000
1.565 0.903 10.763
Mg Sn Ti
2 1 1
Direct
0.912 0.912 0.263
0.088 0.088 0.737
0.500 0.500 0.500
0.000 0.000 0.000
```

Properties
crystal system	trigonal
total magnetic moment	0.20	Bohr magnetons per cell
calculated formation energy	0.363	eV per atom
D(E_F)	1.06	states/eV/atom
SG	R-3m (166)